Compound: Tb4AlZn2Au
Source: Alexandria
Functional: PBE
Structure: relaxed

Computed properties:
ΔH_f (0 K), meV/atom: -483
Total moment, μB/cell: 0.00
SG: R-3m (166)

a = 8.845 Å, b = 8.845 Å, c = 8.845 Å
α = 33.44°, β = 33.44°, γ = 33.44°
Fractional positions:
Tb 0.124 0.124 0.124
Tb 0.374 0.374 0.374
Tb 0.626 0.626 0.626
Tb 0.876 0.876 0.876
Al 0.500 0.500 0.500
Zn 0.246 0.246 0.246
Zn 0.754 0.754 0.754
Au 0.000 0.000 0.000